A plane-wave DFT calculation with PBE-GGA was carried out for a relaxed Sc3AgN crystal.

## Properties
- Total magnetization: 0.000 μB per formula unit
- Offset from the most stable computed form: 1032 kJ/mol of formula units
- Raw formation energy: 118 kJ per mole of atoms
- Total DFT energy (no corrections): -24.073 eV for the cell shown

Lattice parameters (Å, degrees): 5.066 5.066 5.066 90.00 90.00 90.00
Space group Pm-3m (No. 221)
Unique sites:
Sc1 0.000 0.000 0.500
Ag1 0.000 0.000 0.000
N1 0.500 0.500 0.500

A plane-wave DFT calculation with PBE-GGA was carried out for a relaxed FeB2Ir crystal.

## Properties
- Total magnetization: 1.000 μB per formula unit
- Offset from the most stable computed form: 158 kJ/mol of formula units
- Total DFT energy (no corrections): -115.772 eV for the cell shown
- DFT formation energy: 0.434 eV per atom

Lattice parameters (Å, degrees): 4.560 4.560 9.370 90.00 90.00 90.00
Space group I-42d (No. 122)
Unique sites:
Fe1 0.000 0.000 0.000
B1 0.240 0.250 0.125
Ir1 0.000 0.000 0.500

A plane-wave DFT calculation with PBE-GGA was carried out for a relaxed BeTcTe2N crystal.

## Properties
- Total magnetization: 1.761 μB per formula unit
- Offset from the most stable computed form: 23 kJ/mol of formula units
- Raw formation energy: 65 kJ per mole of atoms
- Total DFT energy (no corrections): -25.331 eV for the cell shown

Lattice parameters (Å, degrees): 5.277 5.277 3.059 90.00 90.00 90.00
Space group P4/mmm (No. 123)
Unique sites:
Be1 0.000 0.000 0.000
Tc1 0.500 0.500 0.500
Te1 0.000 0.500 0.000
N1 0.000 0.000 0.500

A plane-wave DFT calculation with PBE-GGA was carried out for a relaxed SmInRh2 crystal.

## Properties
- Total magnetization: 0.000 μB per formula unit
- Total DFT energy (no corrections): -49.647 eV for the cell shown
- DFT formation energy: -0.666 eV per atom

Lattice parameters (Å, degrees): 4.743 4.743 6.758 90.00 90.00 90.00
Space group I4/mmm (No. 139)
Unique sites:
Sm1 0.000 0.000 0.000
In1 0.000 0.000 0.500
Rh1 0.000 0.500 0.250